{
  "formula": "Ho3ReO8",
  "functional": "PBE",
  "state": "relaxed",
  "lattice_angstrom": [[6.272, 0.000, 0.000], [0.000, 7.173, -0.002], [0.000, 2.676, 6.656]],
  "species": ["Ho", "Ho", "Ho", "Ho", "Ho", "Ho", "Re", "Re", "O", "O", "O", "O", "O", "O", "O", "O", "O", "O", "O", "O", "O", "O", "O", "O"],
  "frac_coords": [[0.250, 0.332, 0.892], [0.750, 0.594, 0.594], [0.750, 0.108, 0.668], [0.250, 0.892, 0.332], [0.250, 0.406, 0.406], [0.750, 0.668, 0.108], [0.250, 0.820, 0.820], [0.750, 0.180, 0.180], [0.750, 0.429, 0.957], [0.950, 0.813, 0.813], [0.550, 0.813, 0.813], [0.750, 0.025, 0.026], [0.250, 0.656, 0.656], [0.000, 0.329, 0.671], [0.500, 0.329, 0.671], [0.750, 0.957, 0.429], [0.250, 0.043, 0.571], [0.000, 0.671, 0.329], [0.500, 0.671, 0.329], [0.750, 0.344, 0.344], [0.250, 0.975, 0.974], [0.050, 0.187, 0.187], [0.450, 0.187, 0.187], [0.250, 0.571, 0.043]],
  "raw_formation_energy_kj_per_mol_atoms": -273.3,
  "sg": "Cmcm, No. 63",
  "de_polymorph_mev_per_atom": 29,
  "m_tot_mub_per_cell": 0.00,
  "density_g_cm3": 8.97,
  "energy_ev_per_atom": -8.32
}